Entry 1:
6
Lattice="-4.8959 -2.3041 0.3058 -3.3707 -3.3890 2.5543 -3.6043 3.7764 4.2669" Properties=species:S:1:pos:R:3 comment="TaIr, relaxed, DFT PBE" formation_energy_ev_per_atom=-0.4382 e_tot_ev_per_atom=-10.80 magmom_total_mub_per_cell=0.000 pbc="T T T"
Ta -10.2457 -3.1876 5.4114
Ir -6.0005 -2.4159 2.9044
Ta -3.8816 -0.5894 2.3485
Ta -5.5723 2.0318 4.7600
Ir -8.0343 -1.3826 4.7824
Ir -8.1664 -5.5798 2.8467

Entry 2:
16
Lattice="-1.8496 3.0310 -3.8617 -1.7094 -7.8408 -5.3354 -5.1024 -0.3589 2.1622" Properties=species:S:1:pos:R:3 comment="Ta3Ir, relaxed, DFT PBE" formation_energy_ev_per_atom=-0.1948 e_tot_ev_per_atom=-11.30 magmom_total_mub_per_cell=0.000 pbc="T T T"
Ir -6.8132 -4.4882 -4.2757
Ta -5.5352 -1.9647 -4.3915
Ta -2.3402 0.4018 -0.1900
Ta -5.8268 -3.5658 -1.9451
Ta -3.1263 -3.2039 -2.6435
Ta -2.8346 -1.6028 -5.0899
Ta -6.3213 -5.5704 -6.8450
Ta -6.6129 -7.1714 -4.3987
Ta -4.1384 -4.5126 -5.0968
Ta -4.9237 -2.2648 0.5544
Ir -4.5644 -5.9106 -2.9059
Ir -1.8482 -0.6804 -2.7593
Ir -4.0970 0.7420 -4.1291
Ta -4.5231 -0.6560 -1.9381
Ta -3.7377 -2.9038 -7.5894
Ta -2.0485 2.0028 -2.6363

Entry 3:
5
Lattice="-9.5975 6.2441 1.7080 -10.8751 3.9401 0.4747 -10.3553 3.9561 3.3367" Properties=species:S:1:pos:R:3 comment="Ta3Ir2, relaxed, DFT PBE" formation_energy_ev_per_atom=-0.1645 relative_energy_ev_per_fu=1.53 e_tot_ev_per_atom=-10.82 magmom_total_mub_per_cell=0.000 pbc="T T T"
Ta -24.5821 11.2754 4.4012
Ir -18.4957 8.4837 3.3115
Ta -6.2457 2.8648 1.1182
Ta 0.0000 0.0000 0.0000
Ir -12.3322 5.6565 2.2080

Entry 4:
4
Lattice="-0.4971 -0.1026 2.8620 2.7012 -0.9817 0.4340 2.7083 7.7837 0.7495" Properties=species:S:1:pos:R:3 comment="Ta3Ir, relaxed, DFT PBE" formation_energy_ev_per_atom=-0.2418 e_tot_ev_per_atom=-11.35 magmom_total_mub_per_cell=0.000 pbc="T T T"
Ir 0.0000 0.0000 0.0000
Ta 3.1912 5.4621 2.2261
Ta 1.7212 1.2373 1.8193
Ta 1.3541 3.8919 0.3747

Entry 5:
2
Lattice="-0.2602 3.5484 -2.0196 -3.5938 1.9347 -0.2815 -0.6144 3.4834 2.0557" Properties=species:S:1:pos:R:3 comment="TaIr, relaxed, DFT PBE" formation_energy_ev_per_atom=0.5020 e_tot_ev_per_atom=-9.85 magmom_total_mub_per_cell=0.000 pbc="T T T"
Ir 0.0000 0.0000 0.0000
Ta -3.3513 6.7249 -0.1841

Entry 6:
8
Lattice="2.2576 -3.9102 0.0000 2.2576 3.9102 0.0000 0.0000 0.0000 7.8358" Properties=species:S:1:pos:R:3 comment="TaIr, relaxed, DFT PBE" formation_energy_ev_per_atom=-0.0246 e_tot_ev_per_atom=-10.38 magmom_total_mub_per_cell=0.000 pbc="T T T"
Ta 2.2576 -1.3034 7.1916
Ir 2.2576 1.3034 5.8768
Ta 2.2576 1.3034 3.2738
Ta 2.2576 -1.3034 4.5620
Ir 0.0000 0.0000 1.9589
Ir 0.0000 0.0000 5.8768
Ta 2.2576 1.3034 0.6441
Ir 2.2576 -1.3034 1.9589

Entry 7:
6
Lattice="1.4640 5.1485 -0.0055 -1.4640 5.1485 -0.0055 0.0000 2.1332 6.5157" Properties=species:S:1:pos:R:3 comment="TaIr, relaxed, DFT PBE" formation_energy_ev_per_atom=-0.3215 e_tot_ev_per_atom=-10.68 magmom_total_mub_per_cell=0.000 pbc="T T T"
Ir 0.0000 0.1414 0.0407
Ta 0.0000 8.0873 4.3553
Ir 0.0000 4.1109 2.2125
Ta 0.0000 5.1055 6.2277
Ta 0.0000 10.8760 3.8391
Ir 0.0000 6.8980 1.7547

Entry 8:
5
Lattice="2.1677 -3.7546 0.0000 2.1677 3.7546 0.0000 0.0000 0.0000 5.4667" Properties=species:S:1:pos:R:3 comment="Ta2Ir3, relaxed, DFT PBE" formation_energy_ev_per_atom=-0.2540 relative_energy_ev_per_fu=1.43 e_tot_ev_per_atom=-10.31 magmom_total_mub_per_cell=0.000 pbc="T T T"
Ta 2.1677 1.2515 4.4407
Ta 2.1677 -1.2515 1.0260
Ir 2.1677 1.2515 1.8639
Ir 2.1677 -1.2515 3.6028
Ir 0.0000 0.0000 0.0000